--- P ---
Crystalline TaMoC at its relaxed geometry. Source: Alexandria, functional PBE.

extended XYZ file:
```
6
Lattice="2.7857 0.0000 0.0000 0.0000 2.7857 0.0000 0.0000 0.0000 9.9695" Properties=species:S:1:pos:R:3 pbc="T T T"
Ta 0.0000 0.0000 0.0000
Ta 1.3929 1.3929 4.9847
Mo 0.0000 0.0000 7.3605
Mo 1.3929 1.3929 2.3757
C 0.0000 0.0000 3.5342
C 1.3929 1.3929 8.5190
```

Results
As for the space group: I4mm. The density of states at the Fermi level is 3.1 states/eV/cell.

=====

--- Q ---
Crystalline TaMoC at its relaxed geometry. Source: Alexandria, functional PBE.

extended XYZ file:
```
12
Lattice="5.4468 0.0000 0.0000 0.0000 5.4468 0.0000 0.0000 0.0000 5.4468" Properties=species:S:1:pos:R:3 pbc="T T T"
Ta 0.0000 0.0000 0.0000
Ta 0.0000 2.7234 2.7234
Ta 2.7234 0.0000 2.7234
Ta 2.7234 2.7234 0.0000
Mo 0.0000 0.0000 2.7234
Mo 0.0000 2.7234 0.0000
Mo 2.7234 0.0000 0.0000
Mo 2.7234 2.7234 2.7234
C 1.3617 1.3617 4.0851
C 1.3617 4.0851 1.3617
C 4.0851 1.3617 1.3617
C 4.0851 4.0851 4.0851
```

Results
As for the space group: F-43m. The density of states at the Fermi level is 16.3 states/eV/cell.

=====

Most stable structure: P

=====

--- P ---
Crystalline TaMoC at its relaxed geometry. Source: Alexandria, functional PBE.

extended XYZ file:
```
12
Lattice="10.9152 0.0000 0.0000 0.0000 3.0988 0.0000 -2.5734 0.0000 4.7330" Properties=species:S:1:pos:R:3 pbc="T T T"
Ta 0.5416 0.0000 1.3961
Ta 2.3427 1.5494 3.3369
Ta 5.9992 1.5494 1.3961
Ta 7.8003 0.0000 3.3369
Mo -0.6304 1.5494 3.7993
Mo 3.5147 0.0000 0.9337
Mo 4.8272 0.0000 3.7993
Mo 8.9723 1.5494 0.9337
C 2.0601 1.5494 1.1996
C 0.8242 0.0000 3.5334
C 7.5177 0.0000 1.1996
C 6.2818 1.5494 3.5334
```

Results
As for the space group: C2/m. The density of states at the Fermi level is 4.2 states/eV/cell.

=====

--- Q ---
Crystalline TaMoC at its relaxed geometry. Source: Alexandria, functional PBE.

extended XYZ file:
```
6
Lattice="3.0346 0.0000 0.0000 0.0000 4.4249 0.0000 -0.5058 0.0000 5.9766" Properties=species:S:1:pos:R:3 pbc="T T T"
Ta 0.5296 1.1062 0.7297
Ta 1.9992 3.3187 5.2470
Mo 0.5121 1.1062 3.7303
Mo 2.0168 3.3187 2.2463
C 0.4793 3.3187 3.7166
C 2.0495 1.1062 2.2601
```

Results
As for the space group: P2_1/m. The density of states at the Fermi level is 4.8 states/eV/cell.

=====

Most stable structure: P